Arrangement 1

DFT (GGA+U) results for CoAgTeO after structural relaxation.

Cell lengths 6.9834, 11.9450, 7.0538 Å; angles 90.00, 90.00, 90.00 degrees
Closest atoms and distances in Å follow each position.
Element x y z (fractional)
Ag  0.5163  0.7556  0.7377  2 O 2.16-2.19
Ag  0.9837  0.2556  0.7377  2 O 2.16-2.19
Ag  0.4837  0.2444  0.2623  2 O 2.16-2.19
Ag  0.0163  0.7444  0.2623  2 O 2.16-2.19
Ag  0.0163  0.7556  0.7623  2 O 2.16-2.19
Ag  0.4837  0.2556  0.7623  2 O 2.16-2.19
Ag  0.5163  0.7444  0.2377  2 O 2.16-2.19
Ag  0.9837  0.2444  0.2377  2 O 2.16-2.19
Te  0.5069  0.9976  0.2513  4 Co 2.71-2.87, 2 Ag 2.95-3.03
Te  0.0069  0.9976  0.2487  4 Co 2.71-2.87, 2 Ag 2.95-3.03
Te  0.5069  0.5024  0.7513  4 Co 2.71-2.87, 2 Ag 2.95-3.03
Te  0.4931  0.4976  0.2487  4 Co 2.71-2.87, 2 Ag 2.95-3.03
Te  0.0069  0.5024  0.7487  4 Co 2.71-2.87, 2 Ag 2.95-3.03
Te  0.9931  0.4976  0.2513  4 Co 2.71-2.87, 2 Ag 2.95-3.03
Te  0.9931  0.0024  0.7513  4 Co 2.71-2.87, 2 Ag 2.95-3.03
Te  0.4931  0.0024  0.7487  4 Co 2.71-2.87, 2 Ag 2.95-3.03
Co  0.7625  0.1010  0.4917  1 O 1.85
Co  0.7375  0.6010  0.4917  1 O 1.85
Co  0.2375  0.8990  0.5083  1 O 1.85
Co  0.2625  0.3990  0.5083  1 O 1.85
Co  0.2625  0.1010  0.0083  1 O 1.85
Co  0.7375  0.8990  0.9917  1 O 1.85
Co  0.7625  0.3990  0.9917  1 O 1.85
Co  0.2375  0.6010  0.0083  1 O 1.85
O  0.2224  0.2475  0.9325  1 Co 1.85
O  0.7776  0.7475  0.5675  1 Co 1.85
O  0.7776  0.7525  0.0675  1 Co 1.85
O  0.7224  0.2525  0.0675  1 Co 1.85
O  0.7224  0.2475  0.5675  1 Co 1.85
O  0.2776  0.7525  0.4325  1 Co 1.85
O  0.2776  0.7475  0.9325  1 Co 1.85
O  0.2224  0.2525  0.4325  1 Co 1.85

Calculated values
The symmetry is Pbca (61). The crystal system is orthorhombic.

Arrangement 2

DFT (GGA+U) results for CoAgTeO after structural relaxation.

Cell lengths 6.7806, 3.1620, 14.0739 Å; angles 90.00, 90.00, 90.00 degrees
Closest atoms and distances in Å follow each position.
Element x y z (fractional)
Co  0.7974  0.2500  0.9181  2 O 1.93
Co  0.2974  0.2500  0.5819  2 O 1.93
Co  0.7026  0.7500  0.4181  2 O 1.93
Co  0.2026  0.7500  0.0819  2 O 1.93
Ag  0.4508  0.7500  0.7652  2 O 2.19-2.22
Ag  0.0492  0.2500  0.2652  2 O 2.19-2.22
Ag  0.5492  0.2500  0.2348  2 O 2.19-2.22
Ag  0.9508  0.7500  0.7348  2 O 2.19-2.22
O  0.2767  0.2500  0.1520  2 Co 1.93
O  0.7767  0.2500  0.3480  2 Co 1.93
O  0.2233  0.7500  0.6520  2 Co 1.93
O  0.7233  0.7500  0.8480  2 Co 1.93
Te  0.2943  0.7500  0.4141  3 Co 2.77-2.84
Te  0.7057  0.2500  0.5859  3 Co 2.77-2.84
Te  0.7943  0.7500  0.0859  3 Co 2.77-2.84
Te  0.2057  0.2500  0.9141  3 Co 2.77-2.84

Calculated values
The symmetry is Pnma (62). The crystal system is orthorhombic.

Arrangement 3

DFT (GGA+U) results for CoAgTeO after structural relaxation.

Cell lengths 7.2350, 7.2350, 6.6877 Å; angles 90.00, 90.00, 154.86 degrees
Closest atoms and distances in Å follow each position.
Element x y z (fractional)
Co  0.8282  0.1718  0.4743  2 O 1.93
Co  0.1718  0.8282  0.9743  2 O 1.93
Ag  0.4839  0.5161  0.8153  2 O 2.18-2.20
Ag  0.5161  0.4839  0.3153  2 O 2.18-2.20
Te  0.1678  0.8322  0.5640  3 Co 2.74-2.82
Te  0.8322  0.1678  0.0640  3 Co 2.74-2.82
O  0.5985  0.4015  0.0390  2 Co 1.93
O  0.4015  0.5985  0.5390  2 Co 1.93

Calculated values
The symmetry is Cmc2_1 (36). The crystal system is orthorhombic.

Arrangement 4

DFT (GGA+U) results for CoAgTeO after structural relaxation.

Cell lengths 4.9248, 4.9248, 6.7079 Å; angles 90.00, 90.00, 90.00 degrees
Closest atoms and distances in Å follow each position.
Element x y z (fractional)
O  0.2500  0.2500  0.9229  1 Co 1.69
O  0.7500  0.7500  0.0771  1 Co 1.69
Te  0.2500  0.7500  0.5000  4 Co 2.72, 4 Ag 3.03
Te  0.7500  0.2500  0.5000  4 Co 2.72, 4 Ag 3.03
Ag  0.7500  0.7500  0.7636  1 O 2.10
Ag  0.2500  0.2500  0.2364  1 O 2.10
Co  0.2500  0.2500  0.6712  1 O 1.69
Co  0.7500  0.7500  0.3288  1 O 1.69

Calculated values
The symmetry is P4/nmm (129). The crystal system is tetragonal.

arrangement 3 has the most favorable energy; the next structure is 0.008 eV/atom above.